First-principles (GGA-PBE) data for a relaxed Rb2NaPPd crystal, as listed in Alexandria via LeMat-Bulk.

The crystal system is tetragonal. The calculation puts the total magnetization at 0.00 μB/f.u. The volume comes out at 205.5 Å³/cell. Its energy relative to the elements is -0.6 eV per formula unit. Its density of states at the Fermi level is 1.63 states/eV/cell.

The space group is P4/mmm (No. 123) and the conventional cell measures 6.7916, 6.7916 and 4.4548 Å, with angles of 90.00, 90.00 and 90.00 degrees. Symmetry generates all atoms from Rb at (0.0000, 0.5000, 0.0000), Na at (0.0000, 0.0000, 0.5000), P at (0.5000, 0.5000, 0.5000) and Pd at (0.5000, 0.5000, 0.0000).


First-principles (GGA-PBE) data for a relaxed RbNa2PPd crystal, as listed in Alexandria via LeMat-Bulk.

The crystal system is tetragonal. The calculation puts the total magnetization at 0.00 μB/f.u. The volume comes out at 141.5 Å³/cell. Its energy relative to the elements is -1.2 eV per formula unit. Its density of states at the Fermi level is 1.63 states/eV/cell.

The space group is P4/mmm (No. 123) and the conventional cell measures 5.5006, 5.5006 and 4.6762 Å, with angles of 90.00, 90.00 and 90.00 degrees. Symmetry generates all atoms from Rb at (0.0000, 0.0000, 0.0000), Na at (0.0000, 0.5000, 0.5000), P at (0.5000, 0.5000, 0.5000) and Pd at (0.5000, 0.5000, 0.0000).


Number 1: relative energy among the computed polymorphs 8 meV/atom. Number 2: relative energy among the computed polymorphs 0 meV/atom.